An optimized crystal structure of Ca2Sb2Pd5, computed with GGA-PBE.

The space group is P4/mmm (No. 123) and the conventional cell measures 4.701, 4.701 and 8.575 Å, with angles of 90.00, 90.00 and 90.00 degrees. The inequivalent atoms are Ca at (0.000, 0.000, 0.000), Ca at (0.000, 0.000, 0.500), Sb at (0.500, 0.500, 0.167), Pd at (0.000, 0.500, 0.295) and Pd at (0.500, 0.500, 0.500).

As for the formation energy (no corrections): -642 meV/atom.

---

An optimized crystal structure of Ca2SbPd3, computed with GGA-PBE.

The space group is R-3m (No. 166, hexagonal axes) and the conventional cell measures 5.7566, 5.7566 and 12.9947 Å, with angles of 90.00, 90.00 and 120.00 degrees. The inequivalent atoms are Ca at (0.0000, 0.0000, 0.1261), Sb at (0.0000, 0.0000, 0.5000) and Pd at (0.0000, 0.5000, 0.0000).

As for the formation energy (no corrections): -787 meV/atom. As for the relative energy among the computed polymorphs: 7 meV per atom.

---

An optimized crystal structure of Ca3Sb2Pd, computed with GGA-PBE.

The space group is Pnma (No. 62) and the conventional cell measures 12.339, 4.603 and 11.899 Å, with angles of 90.00, 90.00 and 90.00 degrees. The inequivalent atoms are Ca at (0.052, 0.250, 0.123), Ca at (0.119, 0.750, 0.551), Ca at (0.228, 0.250, 0.800), Sb at (0.009, 0.750, 0.308), Sb at (0.193, 0.750, 0.999) and Pd at (0.124, 0.250, 0.367).

As for the formation energy (no corrections): -994 meV/atom.

---

An optimized crystal structure of CaSbPd2, computed with GGA-PBE.

The space group is I-42d (No. 122) and the conventional cell measures 4.726, 4.726 and 17.977 Å, with angles of 90.00, 90.00 and 90.00 degrees. The inequivalent atoms are Ca at (0.000, 0.000, 0.000), Sb at (0.000, 0.000, 0.500) and Pd at (0.141, 0.250, 0.625).

As for the formation energy (no corrections): -427 meV/atom. As for the relative energy among the computed polymorphs: 365 meV per atom.

---

An optimized crystal structure of CaSb3Pd, computed with GGA-PBE.

The space group is Pbcm (No. 57) and the conventional cell measures 13.292, 6.294 and 6.081 Å, with angles of 90.00, 90.00 and 90.00 degrees. The inequivalent atoms are Ca at (0.190, 0.010, 0.250), Sb at (0.001, 0.250, 0.000), Sb at (0.281, 0.527, 0.250), Sb at (0.438, 0.614, 0.750) and Pd at (0.397, 0.250, 0.000).

As for the formation energy (no corrections): -523 meV/atom. As for the relative energy among the computed polymorphs: 0 meV per atom.

---

An optimized crystal structure of Ca12SbPd6, computed with GGA-PBE.

The space group is Im-3 (No. 204) and the conventional cell measures 10.280, 10.280 and 10.280 Å, with angles of 90.00, 90.00 and 90.00 degrees. The inequivalent atoms are Ca at (0.000, 0.182, 0.303), Sb at (0.000, 0.000, 0.000) and Pd at (0.000, 0.369, 0.500).

As for the formation energy (no corrections): -561 meV/atom.

---

An optimized crystal structure of Ca3Sb2Pd6, computed with GGA-PBE.

The space group is Im-3m (No. 229) and the conventional cell measures 9.803, 9.803 and 9.803 Å, with angles of 90.00, 90.00 and 90.00 degrees. The inequivalent atoms are Ca at (0.000, 0.000, 0.301), Sb at (0.250, 0.250, 0.250) and Pd at (0.000, 0.330, 0.330).

As for the formation energy (no corrections): -701 meV/atom.

---

An optimized crystal structure of Ca3Sb4Pd7, computed with GGA-PBE.

The space group is C2/m (No. 12) and the conventional cell measures 16.597, 4.431 and 9.663 Å, with angles of 90.00, 124.46 and 90.00 degrees. The inequivalent atoms are Ca at (0.000, 0.000, 0.000), Ca at (0.163, 0.500, 0.672), Sb at (0.111, 0.000, 0.386), Sb at (0.180, 0.500, 0.055), Pd at (0.000, 0.000, 0.500), Pd at (0.002, 0.500, 0.749), Pd at (0.133, 0.000, 0.868) and Pd at (0.200, 0.500, 0.357).

As for the formation energy (no corrections): -748 meV/atom.